(1)
# Tc2HgPb PBE relaxed
data_Tc2HgPb
_cell_length_a 7.550
_cell_length_b 7.550
_cell_length_c 6.099
_cell_angle_alpha 51.76
_cell_angle_beta 51.76
_cell_angle_gamma 90.00
_symmetry_space_group_name_H-M 'P 1'
_symmetry_Int_Tables_number 1
_symmetry_space_group_name_Hall 'P 1'
loop_
_atom_site_label
_atom_site_fract_x
_atom_site_fract_y
_atom_site_fract_z
Tc1 0.875 0.877 0.750
Tc2 0.627 0.125 0.250
Tc3 0.123 0.625 0.250
Tc4 0.375 0.373 0.750
Pb1 0.750 0.250 0.500
Pb2 0.000 0.000 0.000
Hg1 0.250 0.750 0.500
Hg2 0.500 0.500 0.000
# ΔE to the lowest computed polymorph: 0.862 eV/atom
# Crystal system: tetragonal
# Space-group type: I-42d, No. 122
# Formation energy: 1.136 eV per atom

(2)
# TlTe2O6 PBE relaxed
data_TlTe2O6
_cell_length_a 7.433
_cell_length_b 7.433
_cell_length_c 7.433
_cell_angle_alpha 60.00
_cell_angle_beta 60.00
_cell_angle_gamma 60.00
_symmetry_space_group_name_H-M 'P 1'
_symmetry_Int_Tables_number 1
_symmetry_space_group_name_Hall 'P 1'
loop_
_atom_site_label
_atom_site_fract_x
_atom_site_fract_y
_atom_site_fract_z
Tl1 0.750 0.750 0.750
Tl2 0.500 0.500 0.500
O1 0.445 0.055 0.055
O2 0.445 0.055 0.445
O3 0.195 0.195 0.805
O4 0.055 0.055 0.445
O5 0.055 0.445 0.055
O6 0.805 0.195 0.195
O7 0.805 0.195 0.805
O8 0.055 0.445 0.445
O9 0.445 0.445 0.055
O10 0.195 0.805 0.805
O11 0.195 0.805 0.195
O12 0.805 0.805 0.195
Te1 0.125 0.125 0.625
Te2 0.625 0.125 0.125
Te3 0.125 0.625 0.125
Te4 0.125 0.125 0.125
# ΔE to the lowest computed polymorph: 0.000 eV/atom
# Crystal system: cubic
# E_form (uncorrected): -0.932 eV/atom
# Space-group type: Fd-3m, No. 227

(3)
# PrNpSO2 PBE relaxed
data_PrNpSO2
_cell_length_a 3.856
_cell_length_b 3.856
_cell_length_c 6.707
_cell_angle_alpha 106.71
_cell_angle_beta 106.71
_cell_angle_gamma 90.00
_symmetry_space_group_name_H-M 'P 1'
_symmetry_Int_Tables_number 1
_symmetry_space_group_name_Hall 'P 1'
loop_
_atom_site_label
_atom_site_fract_x
_atom_site_fract_y
_atom_site_fract_z
Np1 0.853 0.853 0.706
Pr1 0.142 0.142 0.285
S1 0.499 0.499 0.997
O1 0.753 0.253 0.506
O2 0.253 0.753 0.506
# Crystal system: tetragonal
# E_form (uncorrected): -2.574 eV/atom
# Space-group type: I4mm, No. 107

(4)
# Ga5Hg PBE relaxed
data_Ga5Hg
_cell_length_a 3.204
_cell_length_b 5.958
_cell_length_c 6.528
_cell_angle_alpha 93.09
_cell_angle_beta 102.99
_cell_angle_gamma 89.80
_symmetry_space_group_name_H-M 'P 1'
_symmetry_Int_Tables_number 1
_symmetry_space_group_name_Hall 'P 1'
loop_
_atom_site_label
_atom_site_fract_x
_atom_site_fract_y
_atom_site_fract_z
Ga1 0.985 0.526 0.967
Ga2 0.652 0.288 0.291
Ga3 0.280 0.035 0.566
Ga4 0.651 0.756 0.289
Ga5 0.301 0.537 0.609
Hg1 0.964 0.025 0.946
# ΔE to the lowest computed polymorph: 0.000 eV/atom
# Crystal system: triclinic
# Space-group type: P1, No. 1
# Formation energy: 0.036 eV per atom

(5)
# SrCa2Tc PBE relaxed
data_SrCa2Tc
_cell_length_a 11.525
_cell_length_b 11.525
_cell_length_c 11.525
_cell_angle_alpha 18.21
_cell_angle_beta 18.21
_cell_angle_gamma 18.21
_symmetry_space_group_name_H-M 'P 1'
_symmetry_Int_Tables_number 1
_symmetry_space_group_name_Hall 'P 1'
loop_
_atom_site_label
_atom_site_fract_x
_atom_site_fract_y
_atom_site_fract_z
Ca1 0.020 0.020 0.020
Ca2 0.252 0.252 0.252
Sr1 0.479 0.479 0.479
Tc1 0.748 0.748 0.748
# ΔE to the lowest computed polymorph: 0.162 eV/atom
# Crystal system: trigonal
# Space-group type: R3m, No. 160
# Formation energy: 0.649 eV per atom

(6)
# LiAl4Ni2 PBE relaxed
data_LiAl4Ni2
_cell_length_a 4.107
_cell_length_b 4.107
_cell_length_c 7.034
_cell_angle_alpha 73.02
_cell_angle_beta 73.02
_cell_angle_gamma 60.00
_symmetry_space_group_name_H-M 'P 1'
_symmetry_Int_Tables_number 1
_symmetry_space_group_name_Hall 'P 1'
loop_
_atom_site_label
_atom_site_fract_x
_atom_site_fract_y
_atom_site_fract_z
Al1 0.383 0.383 0.851
Al2 0.617 0.617 0.149
Al3 0.130 0.130 0.611
Al4 0.870 0.870 0.389
Ni1 0.253 0.253 0.241
Ni2 0.747 0.747 0.759
Li1 0.000 0.000 0.000
# Crystal system: trigonal
# Space-group type: R-3m, No. 166
# Formation energy: -0.482 eV per atom